YMoCl | Alexandria via LeMat-Bulk | PBE | optimized geometry; offset from the most stable computed form = 0.82 eV/f.u.; formation energy (no corrections) = 0.261 eV per atom; SG = P-6m2 (187)
1.0
-2.103 -3.952 -0.325
3.613 0.410 2.632
-2.050 0.871 2.678
Cl Mo Y
1 1 1
Direct
0.000 0.000 0.166 Cl
0.667 0.333 0.167 Mo
0.333 0.667 0.667 Y

***

ScCu2Sn2 | Alexandria via LeMat-Bulk | PBE | optimized geometry; SG = P4/mbm (127); energy relative to the elements = -162.8 meV/atom
1.0
-4.119 -1.544 5.908
5.701 -3.526 3.053
1.045 2.999 1.512
Sc Sn Cu
2 4 4
Direct
0.000 0.000 0.000 Sc
0.500 0.500 0.000 Sc
0.180 0.680 0.500 Sn
0.680 0.820 0.500 Sn
0.820 0.320 0.500 Sn
0.320 0.180 0.500 Sn
0.382 0.882 0.000 Cu
0.882 0.618 0.000 Cu
0.618 0.118 0.000 Cu
0.118 0.382 0.000 Cu

***

CuPd8Pb2 | Alexandria via LeMat-Bulk | PBE | optimized geometry; SG = C2/m (12); energy relative to the elements = -139.5 meV/atom
1.0
-0.023 4.168 0.577
-4.656 -0.631 4.373
6.420 -2.513 3.063
Cu Pd Pb
1 8 2
Direct
0.500 0.000 0.000 Cu
0.411 0.557 0.823 Pd
0.667 0.911 0.333 Pd
0.858 0.809 0.716 Pd
0.966 0.264 0.933 Pd
0.142 0.191 0.284 Pd
0.333 0.089 0.667 Pd
0.589 0.443 0.177 Pd
0.034 0.736 0.067 Pd
0.787 0.335 0.574 Pb
0.213 0.665 0.426 Pb

***

Theoretical density: 6.02; 7.13; 11.91 (g/cm3)